Record 1
Computed, not measured: a relaxed structure of Y2SbN at the PBE level of DFT.

raw formation energy = -1.202 eV per atom
N(E_F) = 0.000 states/eV/cell
energy above the most stable polymorph in this dataset = 175 meV per atom
E = -7.5462 eV per atom

Cell and atoms, written as CIF:
```
data_Y2SbN
_chemical_formula_sum 'Y8 Sb4 N4'
_cell_length_a 6.940
_cell_length_b 6.940
_cell_length_c 7.954
_cell_angle_alpha 90.00
_cell_angle_beta 90.00
_cell_angle_gamma 90.00
_symmetry_space_group_name_H-M 'I -4 2 d'
_symmetry_Int_Tables_number 122
_symmetry_space_group_name_Hall 'I -4 2bw'
loop_
_atom_site_label
_atom_site_type_symbol
_atom_site_fract_x
_atom_site_fract_y
_atom_site_fract_z
Y1 Y 0.154 0.250 0.125
Sb1 Sb 0.000 0.000 0.500
N1 N 0.000 0.000 0.000
```


Record 2
Computed, not measured: a relaxed structure of YSbN3 at the PBE level of DFT.

raw formation energy = 1.201 eV per atom
N(E_F) = 2.073 states/eV/cell
E = -5.9115 eV per atom

Cell and atoms, written as CIF:
```
data_YSbN3
_chemical_formula_sum 'Y1 Sb1 N3'
_cell_length_a 4.401
_cell_length_b 4.401
_cell_length_c 4.401
_cell_angle_alpha 90.00
_cell_angle_beta 90.00
_cell_angle_gamma 90.00
_symmetry_space_group_name_H-M 'P m -3 m'
_symmetry_Int_Tables_number 221
_symmetry_space_group_name_Hall '-P 4 2 3'
loop_
_atom_site_label
_atom_site_type_symbol
_atom_site_fract_x
_atom_site_fract_y
_atom_site_fract_z
Y1 Y 0.000 0.000 0.000
Sb1 Sb 0.500 0.500 0.500
N1 N 0.000 0.000 0.500
```


Record 3
Computed, not measured: a relaxed structure of YSbN3 at the PBE level of DFT.

raw formation energy = 0.179 eV per atom
N(E_F) = 2.007 states/eV/cell
E = -6.9330 eV per atom

Cell and atoms, written as CIF:
```
data_YSbN3
_chemical_formula_sum 'Y1 Sb1 N3'
_cell_length_a 4.025
_cell_length_b 4.025
_cell_length_c 4.025
_cell_angle_alpha 90.00
_cell_angle_beta 90.00
_cell_angle_gamma 90.00
_symmetry_space_group_name_H-M 'P m -3 m'
_symmetry_Int_Tables_number 221
_symmetry_space_group_name_Hall '-P 4 2 3'
loop_
_atom_site_label
_atom_site_type_symbol
_atom_site_fract_x
_atom_site_fract_y
_atom_site_fract_z
Y1 Y 0.000 0.000 0.000
Sb1 Sb 0.500 0.500 0.500
N1 N 0.000 0.500 0.500
```


Record 4
Computed, not measured: a relaxed structure of Y2Sb2N at the PBE level of DFT.

raw formation energy = 0.119 eV per atom
N(E_F) = 6.816 states/eV/cell
energy above the most stable polymorph in this dataset = 0 meV per atom
E = -5.7812 eV per atom

Cell and atoms, written as CIF:
```
data_Y2Sb2N
_chemical_formula_sum 'Y4 Sb4 N2'
_cell_length_a 7.318
_cell_length_b 7.318
_cell_length_c 4.488
_cell_angle_alpha 90.00
_cell_angle_beta 90.00
_cell_angle_gamma 90.00
_symmetry_space_group_name_H-M 'P 4/m b m'
_symmetry_Int_Tables_number 127
_symmetry_space_group_name_Hall '-P 4 2ab'
loop_
_atom_site_label
_atom_site_type_symbol
_atom_site_fract_x
_atom_site_fract_y
_atom_site_fract_z
Y1 Y 0.158 0.342 0.000
Sb1 Sb 0.162 0.662 0.500
N1 N 0.000 0.000 0.500
```


Record 5
Computed, not measured: a relaxed structure of Y2SbN at the PBE level of DFT.

raw formation energy = -1.189 eV per atom
N(E_F) = 9.697 states/eV/cell
energy above the most stable polymorph in this dataset = 188 meV per atom
E = -7.5329 eV per atom

Cell and atoms, written as CIF:
```
data_Y2SbN
_chemical_formula_sum 'Y6 Sb3 N3'
_cell_length_a 3.6037
_cell_length_b 3.6037
_cell_length_c 22.2981
_cell_angle_alpha 90.00
_cell_angle_beta 90.00
_cell_angle_gamma 120.00
_symmetry_space_group_name_H-M 'R -3 m'
_symmetry_Int_Tables_number 166
_symmetry_space_group_name_Hall '-R 3 2"'
loop_
_atom_site_label
_atom_site_type_symbol
_atom_site_fract_x
_atom_site_fract_y
_atom_site_fract_z
Y1 Y 0.0000 0.0000 0.2249
Sb1 Sb 0.0000 0.0000 0.0000
N1 N 0.0000 0.0000 0.5000
```


Record 6
Computed, not measured: a relaxed structure of Y2Sb2N at the PBE level of DFT.

raw formation energy = 0.129 eV per atom
N(E_F) = 5.725 states/eV/cell
energy above the most stable polymorph in this dataset = 11 meV per atom
E = -5.7705 eV per atom

Cell and atoms, written as CIF:
```
data_Y2Sb2N
_chemical_formula_sum 'Y4 Sb4 N2'
_cell_length_a 6.004
_cell_length_b 6.004
_cell_length_c 7.628
_cell_angle_alpha 90.00
_cell_angle_beta 90.00
_cell_angle_gamma 90.00
_symmetry_space_group_name_H-M 'I 4/m m m'
_symmetry_Int_Tables_number 139
_symmetry_space_group_name_Hall '-I 4 2'
loop_
_atom_site_label
_atom_site_type_symbol
_atom_site_fract_x
_atom_site_fract_y
_atom_site_fract_z
Y1 Y 0.000 0.500 0.250
Sb1 Sb 0.000 0.000 0.215
N1 N 0.000 0.000 0.500
```


Record 7
Computed, not measured: a relaxed structure of YSb2N at the PBE level of DFT.

raw formation energy = 0.096 eV per atom
N(E_F) = 8.349 states/eV/cell
E = -5.6623 eV per atom

Cell and atoms, written as CIF:
```
data_YSb2N
_chemical_formula_sum 'Y4 Sb8 N4'
_cell_length_a 6.916
_cell_length_b 6.916
_cell_length_c 7.788
_cell_angle_alpha 90.00
_cell_angle_beta 90.00
_cell_angle_gamma 90.00
_symmetry_space_group_name_H-M 'I -4 2 d'
_symmetry_Int_Tables_number 122
_symmetry_space_group_name_Hall 'I -4 2bw'
loop_
_atom_site_label
_atom_site_type_symbol
_atom_site_fract_x
_atom_site_fract_y
_atom_site_fract_z
Y1 Y 0.000 0.000 0.000
Sb1 Sb 0.151 0.750 0.625
N1 N 0.000 0.000 0.500
```


Record 8
Computed, not measured: a relaxed structure of YSbN2 at the PBE level of DFT.

raw formation energy = -0.331 eV per atom
N(E_F) = 0.030 states/eV/cell
E = -7.1399 eV per atom

Cell and atoms, written as CIF:
```
data_YSbN2
_chemical_formula_sum 'Y3 Sb3 N6'
_cell_length_a 3.5645
_cell_length_b 3.5645
_cell_length_c 19.2975
_cell_angle_alpha 90.00
_cell_angle_beta 90.00
_cell_angle_gamma 120.00
_symmetry_space_group_name_H-M 'R -3 m'
_symmetry_Int_Tables_number 166
_symmetry_space_group_name_Hall '-R 3 2"'
loop_
_atom_site_label
_atom_site_type_symbol
_atom_site_fract_x
_atom_site_fract_y
_atom_site_fract_z
Y1 Y 0.0000 0.0000 0.0000
Sb1 Sb 0.0000 0.0000 0.5000
N1 N 0.0000 0.0000 0.3953
```


Record 9
Computed, not measured: a relaxed structure of Y4Sb3N at the PBE level of DFT.

raw formation energy = -0.990 eV per atom
N(E_F) = 0.592 states/eV/cell
E = -6.8085 eV per atom

Cell and atoms, written as CIF:
```
data_Y4Sb3N
_chemical_formula_sum 'Y8 Sb6 N2'
_cell_length_a 9.614
_cell_length_b 8.570
_cell_length_c 6.171
_cell_angle_alpha 90.00
_cell_angle_beta 90.00
_cell_angle_gamma 90.00
_symmetry_space_group_name_H-M 'P m n 21'
_symmetry_Int_Tables_number 31
loop_
_symmetry_equiv_pos_as_xyz
'x,y,z'
'-x+1/2,-y,z+1/2'
'-x,y,z'
'x+1/2,-y,z+1/2'
loop_
_atom_site_label
_atom_site_type_symbol
_atom_site_fract_x
_atom_site_fract_y
_atom_site_fract_z
Y1 Y 0.000 0.091 0.000
Y2 Y 0.000 0.819 0.564
Y3 Y 0.208 0.694 0.001
Sb1 Sb 0.000 0.157 0.491
Sb2 Sb 0.231 0.338 0.991
N1 N 0.000 0.822 0.930
```


Record 10
Computed, not measured: a relaxed structure of Y4Sb2N at the PBE level of DFT.

raw formation energy = -1.112 eV per atom
N(E_F) = 13.667 states/eV/cell
energy above the most stable polymorph in this dataset = 0 meV per atom
E = -7.1730 eV per atom

Cell and atoms, written as CIF:
```
data_Y4Sb2N
_chemical_formula_sum 'Y8 Sb4 N2'
_cell_length_a 4.630
_cell_length_b 4.630
_cell_length_c 16.204
_cell_angle_alpha 90.00
_cell_angle_beta 90.00
_cell_angle_gamma 90.00
_symmetry_space_group_name_H-M 'I 4/m m m'
_symmetry_Int_Tables_number 139
_symmetry_space_group_name_Hall '-I 4 2'
loop_
_atom_site_label
_atom_site_type_symbol
_atom_site_fract_x
_atom_site_fract_y
_atom_site_fract_z
Y1 Y 0.000 0.000 0.165
Y2 Y 0.000 0.500 0.000
Sb1 Sb 0.000 0.000 0.358
N1 N 0.000 0.000 0.000
```


Copy entry 1 word for word.
Computed, not measured: a relaxed structure of Y2SbN at the PBE level of DFT.

raw formation energy = -1.202 eV per atom
N(E_F) = 0.000 states/eV/cell
energy above the most stable polymorph in this dataset = 175 meV per atom
E = -7.5462 eV per atom

Cell and atoms, written as CIF:
```
data_Y2SbN
_chemical_formula_sum 'Y8 Sb4 N4'
_cell_length_a 6.940
_cell_length_b 6.940
_cell_length_c 7.954
_cell_angle_alpha 90.00
_cell_angle_beta 90.00
_cell_angle_gamma 90.00
_symmetry_space_group_name_H-M 'I -4 2 d'
_symmetry_Int_Tables_number 122
_symmetry_space_group_name_Hall 'I -4 2bw'
loop_
_atom_site_label
_atom_site_type_symbol
_atom_site_fract_x
_atom_site_fract_y
_atom_site_fract_z
Y1 Y 0.154 0.250 0.125
Sb1 Sb 0.000 0.000 0.500
N1 N 0.000 0.000 0.000
```